Entry from the Alexandria database: PmCuAgPd after structural relaxation (PBE).

Cell and atoms, written as CIF:
```
data_PmCuAgPd
_chemical_formula_sum 'Pm4 Cu4 Ag4 Pd4'
_cell_length_a 6.790
_cell_length_b 6.790
_cell_length_c 6.790
_cell_angle_alpha 90.00
_cell_angle_beta 90.00
_cell_angle_gamma 90.00
_symmetry_space_group_name_H-M 'F -4 3 m'
_symmetry_Int_Tables_number 216
_symmetry_space_group_name_Hall 'F -4 2 3'
loop_
_atom_site_label
_atom_site_type_symbol
_atom_site_fract_x
_atom_site_fract_y
_atom_site_fract_z
_atom_site_occupancy
Pm1 Pm 0.000 0.000 0.000 1
Cu1 Cu 0.250 0.250 0.250 1
Ag1 Ag 0.000 0.000 0.500 1
Pd1 Pd 0.250 0.250 0.750 1
```

Computed properties:
E_tot   -0.3332 Ry per atom
Spin magnetization   0.00 Bohr magnetons per cell
Energy of formation from the pure elements   -0.3103 eV/atom